(1)
Here is Co4SbRu at its PBEsol-relaxed geometry from Alexandria. Energies are from SCAN.

Cell: 4.7166 4.7166 4.7166 Å, 60.00 60.00 60.00°
Each line ends with the local moment (μB).
Positions (direct):
Co  0.6247  0.6247  0.6247  1.85
Co  0.1259  0.6247  0.6247  1.85
Co  0.6247  0.6247  0.1259  1.85
Co  0.6247  0.1259  0.6247  1.85
Sb  0.0000  0.0000  0.0000  0.04
Ru  0.2500  0.2500  0.2500  1.22

Calculated values
Mass density in Mg/m³: 10.3
Uncorrected energy in eV per atom: -23.2908
Formation energy from raw total energies in meV/atom: 260
Size of the total moment in μB/f.u.: 8.6
Density of states at the Fermi level in states/eV/atom: 1.043

***

(2)
Here is TiCoSbRu2 at its PBEsol-relaxed geometry from Alexandria. Energies are from SCAN.

Cell: 4.2312 4.4949 4.4949 Å, 90.00 90.00 90.00°
Each line ends with the local moment (μB).
Positions (direct):
Ru  0.0000  0.0000  0.5000  0.35
Ru  0.0000  0.5000  0.0000  0.35
Sb  0.5000  0.5000  0.5000  0.02
Co  0.5000  0.0000  0.0000  1.29
Ti  0.0000  0.0000  0.0000  -0.29

Calculated values
Mass density in Mg/m³: 8.4
Uncorrected energy in eV per atom: -27.0270
Formation energy from raw total energies in meV/atom: 1023
Size of the total moment in μB/f.u.: 1.7
Density of states at the Fermi level in states/eV/atom: 0.844

***

(3)
Here is Sc2CoRu at its PBEsol-relaxed geometry from Alexandria. Energies are from SCAN.

Cell: 4.4092 4.4092 4.4092 Å, 60.00 60.00 60.00°
Each line ends with the local moment (μB).
Positions (direct):
Co  0.5000  0.5000  0.5000  0.15
Sc  0.7500  0.7500  0.7500  -0.03
Sc  0.2500  0.2500  0.2500  -0.03
Ru  0.0000  0.0000  0.0000  0.00

Calculated values
Energy above the most stable polymorph in this dataset in eV per formula unit: 0.00
ΔE_f in eV/atom: -0.486
Mass density in Mg/m³: 6.8
Uncorrected energy in eV per atom: -20.6372
Size of the total moment in μB/f.u.: 0.1
Density of states at the Fermi level in states/eV/atom: 0.483